Computed, not measured: NaAg3SnTe4 after structural relaxation at the GGA-PBE level of DFT.

Lattice parameters (Å, degrees): 6.772 6.772 6.772 90.00 90.00 90.00
Sites, in units of the cell vectors:
Na: 0.000 0.000 0.000
Ag: 0.000 0.500 0.500
Ag: 0.500 0.000 0.500
Ag: 0.500 0.500 0.000
Sn: 0.500 0.500 0.500
Te: 0.261 0.261 0.261
Te: 0.261 0.739 0.739
Te: 0.739 0.261 0.739
Te: 0.739 0.739 0.261

Computed properties:
SG   P-43m, No. 215
Theoretical density   5.22 g cm⁻³
Calculated volume   310.54 Å³ per cell
E above lowest polymorph   0.43 eV/f.u.
Final energy   -3.0709 eV per atom

Computed, not measured: NaAg3SnTe4 after structural relaxation at the GGA-PBE level of DFT.

Lattice parameters (Å, degrees): 6.474 8.460 10.304 90.00 101.77 90.00
Sites, in units of the cell vectors:
Na: 0.199 0.250 0.058
Na: 0.801 0.750 0.942
Ag: 0.217 0.057 0.525
Ag: 0.217 0.443 0.525
Ag: 0.320 0.250 0.766
Ag: 0.680 0.750 0.234
Ag: 0.783 0.557 0.475
Ag: 0.783 0.943 0.475
Sn: 0.239 0.750 0.279
Sn: 0.761 0.250 0.721
Te: 0.038 0.515 0.746
Te: 0.038 0.985 0.746
Te: 0.339 0.750 0.022
Te: 0.479 0.750 0.552
Te: 0.521 0.250 0.448
Te: 0.661 0.250 0.978
Te: 0.962 0.015 0.254
Te: 0.962 0.485 0.254

Computed properties:
SG   P2_1/m, No. 11
Theoretical density   5.86 g cm⁻³
Calculated volume   552.53 Å³ per cell
E above lowest polymorph   0.00 eV/f.u.
Final energy   -3.1185 eV per atom

Computed, not measured: NaSrAg after structural relaxation at the GGA-PBE level of DFT.

Lattice parameters (Å, degrees): 7.554 7.554 7.554 90.00 90.00 90.00
Sites, in units of the cell vectors:
Na: 0.000 0.000 0.000
Na: 0.000 0.500 0.500
Na: 0.500 0.000 0.500
Na: 0.500 0.500 0.000
Sr: 0.250 0.250 0.750
Sr: 0.250 0.750 0.250
Sr: 0.750 0.250 0.250
Sr: 0.750 0.750 0.750
Ag: 0.000 0.000 0.500
Ag: 0.000 0.500 0.000
Ag: 0.500 0.000 0.000
Ag: 0.500 0.500 0.500

Computed properties:
SG   F-43m, No. 216
Theoretical density   3.37 g cm⁻³
Calculated volume   431.04 Å³ per cell
Final energy   -1.7281 eV per atom